VASP calculation (PBE-GGA) on an optimized crystal structure of Th4Pt3Rh.

The structure in POSCAR format:
```
Th4Pt3Rh
1.0
5.911 0.000 0.000
0.000 5.911 0.000
0.000 0.000 11.806
Th Pt Rh
8 6 2
Cartesian
0.000 0.000 2.901
0.000 0.000 8.904
0.000 2.956 0.000
0.000 2.956 5.903
2.956 0.000 0.000
2.956 0.000 5.903
2.956 2.956 3.001
2.956 2.956 8.804
0.000 0.000 5.903
0.000 2.956 2.951
0.000 2.956 8.854
2.956 0.000 2.951
2.956 0.000 8.854
2.956 2.956 0.000
0.000 0.000 0.000
2.956 2.956 5.903
```

mass density: 13.01 g/cm3
formation energy from the elements: -1.132 eV per atom
space group: No. 139
energy relative to the lowest polymorph listed for this composition: 0.0 meV per atom
E: -128.41 eV for the cell shown